YNb2V: optimized geometry, PBE-GGA.

Unit cell a=10.627 b=10.627 c=10.627 alpha=157.94 beta=157.94 gamma=31.39
Positions (direct):
Y: 0.000 0.000 0.000
Y: 0.750 0.250 0.500
Nb: 0.137 0.125 0.512
Nb: 0.375 0.863 0.988
Nb: 0.613 0.625 0.488
Nb: 0.875 0.387 0.012
V: 0.250 0.750 0.500
V: 0.500 0.500 0.000

Summary:
For the energy of formation, the calculation gives 0.80 eV/atom. As for the energy above the lowest structure with this stoichiometry: 349 meV per atom. For the density of states at the Fermi level, the calculation gives 9.643 states/eV per cell. The symmetry is No. 122. The electronic total energy comes out at -32.540 eV/f.u.


YNbV2: optimized geometry, PBE-GGA.

Unit cell a=4.742 b=4.742 c=4.742 alpha=60.00 beta=60.00 gamma=60.00
Positions (direct):
Y: 0.000 0.000 0.000
Nb: 0.500 0.500 0.500
V: 0.250 0.250 0.250
V: 0.750 0.750 0.750

Summary:
For the energy of formation, the calculation gives 0.40 eV/atom. As for the energy above the lowest structure with this stoichiometry: 0 meV per atom. For the density of states at the Fermi level, the calculation gives 4.789 states/eV per cell. The symmetry is No. 225. The electronic total energy comes out at -33.157 eV/f.u.


Y3NbV: optimized geometry, PBE-GGA.

Unit cell a=5.205 b=5.205 c=5.205 alpha=90.00 beta=90.00 gamma=90.00
Positions (direct):
Y: 0.000 0.000 0.500
Y: 0.000 0.500 0.000
Y: 0.500 0.000 0.000
Nb: 0.500 0.500 0.500
V: 0.000 0.000 0.000

Summary:
For the energy of formation, the calculation gives 0.97 eV/atom. As for the energy above the lowest structure with this stoichiometry: 0 meV per atom. For the density of states at the Fermi level, the calculation gives 7.300 states/eV per cell. The symmetry is No. 221. The electronic total energy comes out at -33.742 eV/f.u.


Y2Nb2V: optimized geometry, PBE-GGA.

Unit cell a=6.614 b=6.614 c=5.174 alpha=90.00 beta=90.00 gamma=90.00
Positions (direct):
Y: 0.172 0.328 0.000
Y: 0.328 0.828 0.000
Y: 0.672 0.172 0.000
Y: 0.828 0.672 0.000
Nb: 0.147 0.647 0.500
Nb: 0.353 0.147 0.500
Nb: 0.647 0.853 0.500
Nb: 0.853 0.353 0.500
V: 0.000 0.000 0.500
V: 0.500 0.500 0.500

Summary:
For the energy of formation, the calculation gives 0.34 eV/atom. For the density of states at the Fermi level, the calculation gives 9.327 states/eV per cell. The symmetry is No. 127. The electronic total energy comes out at -40.490 eV/f.u.


NbV2Zn: optimized geometry, PBE-GGA.

Unit cell a=4.149 b=4.149 c=3.444 alpha=90.00 beta=90.00 gamma=90.00
Positions (direct):
Nb: 0.000 0.000 0.000
V: 0.000 0.500 0.500
V: 0.500 0.000 0.500
Zn: 0.500 0.500 0.000

Summary:
For the energy of formation, the calculation gives 0.04 eV/atom. For the density of states at the Fermi level, the calculation gives 4.280 states/eV per cell. The symmetry is No. 123. The electronic total energy comes out at -29.407 eV/f.u.


Nb6VZn: optimized geometry, PBE-GGA.

Unit cell a=7.196 b=7.196 c=7.196 alpha=142.24 beta=142.24 gamma=54.46
Positions (direct):
Nb: 0.122 0.622 0.500
Nb: 0.245 0.245 0.000
Nb: 0.378 0.878 0.500
Nb: 0.622 0.122 0.500
Nb: 0.755 0.755 0.000
Nb: 0.878 0.378 0.500
V: 0.000 0.000 0.000
Zn: 0.500 0.500 0.000

Summary:
For the energy of formation, the calculation gives 0.04 eV/atom. For the density of states at the Fermi level, the calculation gives 10.282 states/eV per cell. The symmetry is No. 139. The electronic total energy comes out at -70.471 eV/f.u.


Nb3VZn: optimized geometry, PBE-GGA.

Unit cell a=4.634 b=4.634 c=4.634 alpha=90.00 beta=90.00 gamma=90.00
Positions (direct):
Nb: 0.000 0.000 0.500
Nb: 0.000 0.500 0.000
Nb: 0.500 0.000 0.000
V: 0.000 0.000 0.000
Zn: 0.500 0.500 0.500

Summary:
For the energy of formation, the calculation gives 0.96 eV/atom. As for the energy above the lowest structure with this stoichiometry: 0 meV per atom. For the density of states at the Fermi level, the calculation gives 4.229 states/eV per cell. The symmetry is No. 221. The electronic total energy comes out at -35.821 eV/f.u.


NbV2Zn: optimized geometry, PBE-GGA.

Unit cell a=5.590 b=5.590 c=5.590 alpha=102.62 beta=102.62 gamma=124.27
Positions (direct):
Nb: 0.000 0.000 0.000
Nb: 0.750 0.250 0.500
V: 0.135 0.125 0.510
V: 0.375 0.865 0.990
V: 0.615 0.625 0.490
V: 0.875 0.385 0.010
Zn: 0.250 0.750 0.500
Zn: 0.500 0.500 0.000

Summary:
For the energy of formation, the calculation gives 0.57 eV/atom. For the density of states at the Fermi level, the calculation gives 8.683 states/eV per cell. The symmetry is No. 122. The electronic total energy comes out at -27.309 eV/f.u.


NbVZn2: optimized geometry, PBE-GGA.

Unit cell a=4.426 b=4.426 c=4.426 alpha=60.00 beta=60.00 gamma=60.00
Positions (direct):
Nb: 0.000 0.000 0.000
V: 0.500 0.500 0.500
Zn: 0.250 0.250 0.250
Zn: 0.750 0.750 0.750

Summary:
For the energy of formation, the calculation gives 0.16 eV/atom. As for the energy above the lowest structure with this stoichiometry: 192 meV per atom. For the density of states at the Fermi level, the calculation gives 3.772 states/eV per cell. The symmetry is No. 225. The electronic total energy comes out at -21.080 eV/f.u.


NbVZn2: optimized geometry, PBE-GGA.

Unit cell a=2.764 b=2.764 c=7.878 alpha=90.00 beta=90.00 gamma=90.00
Positions (direct):
Nb: 0.000 0.000 0.000
V: 0.000 0.000 0.500
Zn: 0.500 0.500 0.263
Zn: 0.500 0.500 0.737

Summary:
For the energy of formation, the calculation gives 0.00 eV/atom. As for the energy above the lowest structure with this stoichiometry: 23 meV per atom. For the density of states at the Fermi level, the calculation gives 2.887 states/eV per cell. The symmetry is No. 123. The electronic total energy comes out at -21.754 eV/f.u.


NbVZn3: optimized geometry, PBE-GGA.

Unit cell a=4.549 b=4.549 c=4.549 alpha=90.00 beta=90.00 gamma=90.00
Positions (direct):
Nb: 0.000 0.000 0.000
V: 0.500 0.500 0.500
Zn: 0.000 0.500 0.500
Zn: 0.500 0.000 0.500
Zn: 0.500 0.500 0.000

Summary:
For the energy of formation, the calculation gives 1.15 eV/atom. As for the energy above the lowest structure with this stoichiometry: 0 meV per atom. For the density of states at the Fermi level, the calculation gives 5.073 states/eV per cell. The symmetry is No. 221. The electronic total energy comes out at -17.264 eV/f.u.


NbVZn: optimized geometry, PBE-GGA.

Unit cell a=2.899 b=2.899 c=13.251 alpha=90.00 beta=90.00 gamma=120.00
Positions (direct):
Nb: 0.000 0.000 0.240
Nb: 0.000 0.000 0.760
V: 0.333 0.667 0.931
V: 0.667 0.333 0.069
Zn: 0.333 0.667 0.418
Zn: 0.667 0.333 0.582

Summary:
For the energy of formation, the calculation gives 0.19 eV/atom. As for the energy above the lowest structure with this stoichiometry: 162 meV per atom. For the density of states at the Fermi level, the calculation gives 8.264 states/eV per cell. The symmetry is No. 164. The electronic total energy comes out at -19.890 eV/f.u.


NbVZn2: optimized geometry, PBE-GGA.

Unit cell a=3.876 b=3.876 c=3.996 alpha=90.00 beta=90.00 gamma=90.00
Positions (direct):
Nb: 0.000 0.000 0.000
V: 0.500 0.500 0.000
Zn: 0.000 0.500 0.500
Zn: 0.500 0.000 0.500

Summary:
For the energy of formation, the calculation gives -0.03 eV/atom. As for the energy above the lowest structure with this stoichiometry: 0 meV per atom. For the density of states at the Fermi level, the calculation gives 3.388 states/eV per cell. The symmetry is No. 123. The electronic total energy comes out at -21.847 eV/f.u.


NbVZn: optimized geometry, PBE-GGA.

Unit cell a=4.885 b=4.885 c=4.885 alpha=140.49 beta=140.49 gamma=57.11
Positions (direct):
Nb: 0.000 0.000 0.000
V: 0.337 0.337 0.000
Zn: 0.675 0.675 0.000

Summary:
For the energy of formation, the calculation gives 0.10 eV/atom. As for the energy above the lowest structure with this stoichiometry: 71 meV per atom. For the density of states at the Fermi level, the calculation gives 4.171 states/eV per cell. The symmetry is No. 107. The electronic total energy comes out at -20.162 eV/f.u.